(1)
This record from Alexandria via LeMat-Bulk describes a relaxed structure of Pr3Pu2PaN6. The functional is GGA-PBE.

a b c (Å): 6.1871 6.1871 6.2254
angles (deg): 99.55 99.55 119.97
Closest atoms and distances in Å follow each position.
Fractional positions:
N: 0.0721 0.3977 0.2169  1 Pa 2.38, 2 Pu 2.45, 2 Pr 2.63
N: 0.6023 0.9279 0.7831  1 Pa 2.38, 2 Pu 2.45, 2 Pr 2.63
N: 0.9279 0.6023 0.7831  1 Pa 2.38, 2 Pu 2.45, 2 Pr 2.63
N: 0.7465 0.7465 0.2174  1 Pa 2.39, 2 Pu 2.44, 2 Pr 2.64
N: 0.2535 0.2535 0.7826  1 Pa 2.39, 2 Pu 2.44, 2 Pr 2.64
N: 0.3977 0.0721 0.2169  1 Pa 2.38, 2 Pu 2.45, 2 Pr 2.63
Pr: 0.5000 0.5000 0.5000  6 N 2.63-2.68
Pr: 0.8317 0.1683 0.5000  6 N 2.63-2.67
Pr: 0.1683 0.8317 0.5000  6 N 2.63-2.67
Pa: 0.0000 0.0000 0.0000  6 N 2.38-2.39
Pu: 0.3337 0.6663 0.0000  6 N 2.44-2.45
Pu: 0.6663 0.3337 0.0000  6 N 2.44-2.45

Values from the calculation:
* E_form (uncorrected): -1.387 eV per atom
* size of the total moment: 9.7 μB/cell
* E: -119.1 eV per formula unit

(2)
This record from Alexandria via LeMat-Bulk describes a relaxed structure of Cs2Be2P2H. The functional is GGA-PBE.

a b c (Å): 3.8712 5.9419 7.4976
angles (deg): 76.45 75.04 70.99
Closest atoms and distances in Å follow each position.
Fractional positions:
H: 0.0000 0.0000 0.0000  2 Be 1.66
Cs: 0.5631 0.2069 0.6670  2 H 3.16, 3 P 3.32-3.42, 2 Be 3.48
Cs: 0.4369 0.7931 0.3330  2 H 3.16, 3 P 3.32-3.42, 2 Be 3.48
Be: 0.8352 0.2749 0.0546  1 H 1.66
Be: 0.1648 0.7251 0.9454  1 H 1.66
P: 0.2309 0.3788 0.1594  3 Be 2.19-2.28
P: 0.7691 0.6212 0.8406  3 Be 2.19-2.28

Values from the calculation:
* size of the total moment: 0.0 μB/cell
* E: -24.8 eV per formula unit

(3)
This record from Alexandria via LeMat-Bulk describes a relaxed structure of CsIrCl2. The functional is GGA-PBE.

a b c (Å): 5.3250 5.3250 5.3250
angles (deg): 60.00 60.00 60.00
Closest atoms and distances in Å follow each position.
Fractional positions:
Cl: 0.2500 0.2500 0.2500  4 Ir 3.26, 4 Cs 3.26
Cl: 0.7500 0.7500 0.7500  4 Ir 3.26, 4 Cs 3.26
Cs: 0.0000 0.0000 0.0000  8 Cl 3.26
Ir: 0.5000 0.5000 0.5000  8 Cl 3.26

Values from the calculation:
* energy above the lowest structure with this stoichiometry: 2.70 eV per formula unit
* E_form (uncorrected): 0.351 eV per atom
* size of the total moment: 2.2 μB/cell
* E: -12.0 eV per formula unit

(4)
This record from Alexandria via LeMat-Bulk describes a relaxed structure of PmEuMgBi. The functional is GGA-PBE.

a b c (Å): 5.5814 5.5814 5.5814
angles (deg): 60.00 60.00 60.00
Closest atoms and distances in Å follow each position.
Fractional positions:
Eu: 0.2500 0.2500 0.2500  4 Bi 3.42, 4 Mg 3.42
Pm: 0.7500 0.7500 0.7500  4 Bi 3.42, 4 Mg 3.42
Bi: 0.5000 0.5000 0.5000  4 Eu 3.42, 4 Pm 3.42
Mg: 0.0000 0.0000 0.0000  4 Pm 3.42, 4 Eu 3.42

Values from the calculation:
* size of the total moment: 7.9 μB/cell
* ΔE_f: -377 meV/atom
* E: -22.0 eV per formula unit

(5)
This record from Alexandria via LeMat-Bulk describes a relaxed structure of CdSi3As. The functional is GGA-PBE.

a b c (Å): 4.8586 4.8586 4.8586
angles (deg): 90.00 90.00 90.00
Closest atoms and distances in Å follow each position.
Fractional positions:
Cd: 0.5000 0.5000 0.5000  12 Si 3.44
Si: 0.0000 0.5000 0.0000  2 As 2.43
Si: 0.5000 0.0000 0.0000  2 As 2.43
Si: 0.0000 0.0000 0.5000  2 As 2.43
As: 0.0000 0.0000 0.0000  6 Si 2.43

Values from the calculation:
* energy above the lowest structure with this stoichiometry: 0.00 eV per formula unit
* E_form (uncorrected): 0.970 eV per atom
* size of the total moment: 0.0 μB/cell
* E: -17.0 eV per formula unit

(6)
This record from Alexandria via LeMat-Bulk describes a relaxed structure of Cu4NiAu5. The functional is GGA-PBE.

a b c (Å): 2.9501 2.9501 17.2075
angles (deg): 90.00 90.00 90.00
Closest atoms and distances in Å follow each position.
Fractional positions:
Cu: 0.0000 0.0000 0.1973  8 Au 2.70-2.72, 4 Cu 2.95
Cu: 0.0000 0.0000 0.6006  8 Au 2.71, 4 Cu 2.95
Cu: 0.0000 0.0000 0.8027  8 Au 2.70-2.72, 4 Cu 2.95
Cu: 0.0000 0.0000 0.3994  8 Au 2.71, 4 Cu 2.95
Au: 0.5000 0.5000 0.2986  8 Cu 2.71-2.72, 4 Au 2.95
Au: 0.5000 0.5000 0.7014  8 Cu 2.71-2.72, 4 Au 2.95
Au: 0.5000 0.5000 0.5000  8 Cu 2.71, 4 Au 2.95
Au: 0.5000 0.5000 0.0976  4 Ni 2.68, 4 Cu 2.70, 4 Au 2.95
Au: 0.5000 0.5000 0.9024  4 Ni 2.68, 4 Cu 2.70, 4 Au 2.95
Ni: 0.0000 0.0000 0.0000  8 Au 2.68, 4 Ni 2.95

Values from the calculation:
* size of the total moment: 0.0 μB/cell
* ΔE_f: -16 meV/atom
* E: -38.7 eV per formula unit